Entry 1:
The following is a DFT calculation (PBE) of NiPbSe after structural relaxation.

Output
* magnetic moment: 0.000 μB per cell
* energy relative to the lowest polymorph listed for this composition: 0.0 meV/atom
* ΔE_f (raw): -0.215 eV/atom

Lattice parameters (Å, degrees): 4.0396 4.0396 4.6040 90.00 90.00 120.00
With the nearest neighbours (Å) after each atom.
Space group P3m1 (No. 156)
Asymmetric unit:
Ni 0.0000 0.0000 0.0000 (multiplicity 1)  3 Se 2.35
Pb 0.6667 0.3333 0.4008 (multiplicity 1)  3 Ni 2.97, 3 Se 3.18
Se 0.3333 0.6667 0.9316 (multiplicity 1)  3 Ni 2.35


Entry 2:
The following is a DFT calculation (PBE) of Zn3P after structural relaxation.

Output
* magnetic moment: 0.000 μB per cell
* energy relative to the lowest polymorph listed for this composition: 197.4 meV/atom
* formation enthalpy at 0 K: 0.93 eV per formula unit

Lattice parameters (Å, degrees): 2.7250 2.7250 8.3420 90.00 90.00 90.00
With the nearest neighbours (Å) after each atom.
Space group P4/mmm (No. 123)
Asymmetric unit:
Zn 0.0000 0.0000 0.0000 (multiplicity 1)  12 Zn 2.72-2.80
Zn 0.5000 0.5000 0.2431 (multiplicity 2)  8 Zn 2.72-2.80, 4 P 2.88
P 0.0000 0.0000 0.5000 (multiplicity 1)  4 P 2.72, 8 Zn 2.88


Entry 3:
The following is a DFT calculation (PBE) of Ca2NiRh after structural relaxation.

Output
* magnetic moment: 0.036 μB per cell
* formation enthalpy at 0 K: 0.24 eV per formula unit

Lattice parameters (Å, degrees): 6.7539 6.7539 6.7539 90.00 90.00 90.00
With the nearest neighbours (Å) after each atom.
Space group F-43m (No. 216)
Asymmetric unit:
Ca 0.0000 0.0000 0.0000 (multiplicity 4)  4 Ca 2.92, 4 Ni 2.92
Ca 0.2500 0.2500 0.2500 (multiplicity 4)  4 Rh 2.92, 4 Ca 2.92
Ni 0.2500 0.2500 0.7500 (multiplicity 4)  4 Ca 2.92, 4 Rh 2.92
Rh 0.0000 0.0000 0.5000 (multiplicity 4)  4 Ni 2.92, 4 Ca 2.92


Entry 4:
The following is a DFT calculation (PBE) of Sc6NiRu5 after structural relaxation.

Output
* magnetic moment: 0.000 μB per cell
* formation enthalpy at 0 K: -6.77 eV per formula unit

Lattice parameters (Å, degrees): 14.3307 6.4189 4.5391 90.00 108.37 90.00
With the nearest neighbours (Å) after each atom.
Space group C2/m (No. 12)
Asymmetric unit:
Sc 0.0000 0.2471 0.0000 (multiplicity 4)  6 Ru 2.76-2.77, 2 Ni 2.79
Sc 0.1682 0.2483 0.6682 (multiplicity 8)  7 Ru 2.77-2.79, 1 Ni 2.80
Ni 0.0000 0.5000 0.5000 (multiplicity 2)  8 Sc 2.79-2.80
Ru 0.0000 0.0000 0.5000 (multiplicity 2)  8 Sc 2.77-2.79
Ru 0.1642 0.5000 0.1643 (multiplicity 4)  8 Sc 2.76-2.79
Ru 0.1664 0.0000 0.1663 (multiplicity 4)  8 Sc 2.76-2.77


Entry 5:
The following is a DFT calculation (PBE) of TbPr7Y12 after structural relaxation.

Output
* magnetic moment: 0.000 μB per cell
* energy relative to the lowest polymorph listed for this composition: 391.9 meV/atom
* formation enthalpy at 0 K: 12.37 eV per formula unit

Lattice parameters (Å, degrees): 11.3845 11.3845 11.3845 90.00 90.00 90.00
With the nearest neighbours (Å) after each atom.
Space group Im-3m (No. 229)
Asymmetric unit:
Tb 0.0000 0.0000 0.0000 (multiplicity 2)  12 Y 3.99
Pr 0.0000 0.0000 0.5000 (multiplicity 6)  12 Y 4.03-4.06
Pr 0.2500 0.2500 0.2500 (multiplicity 8)  6 Y 2.85
Y 0.0000 0.2475 0.2475 (multiplicity 24)  2 Pr 2.85


Entry 6:
The following is a DFT calculation (PBE) of OsPdPt2C after structural relaxation.

Output
* magnetic moment: 0.000 μB per cell
* formation enthalpy at 0 K: 4.55 eV per formula unit

Lattice parameters (Å, degrees): 4.1199 4.1199 4.1922 90.00 90.00 90.00
With the nearest neighbours (Å) after each atom.
Space group P4/mmm (No. 123)
Asymmetric unit:
Os 0.0000 0.0000 0.0000 (multiplicity 1)  4 Pd 2.91, 8 Pt 2.94
Pd 0.5000 0.5000 0.0000 (multiplicity 1)  2 C 2.10
Pt 0.0000 0.5000 0.5000 (multiplicity 2)  2 C 2.06
C 0.5000 0.5000 0.5000 (multiplicity 1)  4 Pt 2.06, 2 Pd 2.10


Entry 7:
The following is a DFT calculation (PBE) of Ac2BiPd after structural relaxation.

Output
* magnetic moment: 0.000 μB per cell
* energy relative to the lowest polymorph listed for this composition: 84.1 meV/atom
* formation enthalpy at 0 K: -2.76 eV per formula unit

Lattice parameters (Å, degrees): 4.0300 4.0300 7.8851 90.00 90.00 90.00
With the nearest neighbours (Å) after each atom.
Space group P4/mmm (No. 123)
Asymmetric unit:
Ac 0.0000 0.0000 0.2301 (multiplicity 2)  4 Pd 3.38, 4 Bi 3.56, 1 Ac 3.63
Bi 0.5000 0.5000 0.5000 (multiplicity 1)  8 Ac 3.56, 2 Pd 3.94
Pd 0.5000 0.5000 0.0000 (multiplicity 1)  8 Ac 3.38


Entry 8:
The following is a DFT calculation (PBE) of NdSmErCd after structural relaxation.

Output
* magnetic moment: 0.001 μB per cell
* energy relative to the lowest polymorph listed for this composition: 102.9 meV/atom
* formation enthalpy at 0 K: -0.18 eV per formula unit

Lattice parameters (Å, degrees): 7.8133 7.8133 7.8133 90.00 90.00 90.00
With the nearest neighbours (Å) after each atom.
Space group F-43m (No. 216)
Asymmetric unit:
Nd 0.0000 0.0000 0.0000 (multiplicity 4)  4 Cd 3.38, 4 Er 3.38
Sm 0.0000 0.0000 0.5000 (multiplicity 4)  4 Cd 3.38, 4 Er 3.38
Er 0.2500 0.2500 0.7500 (multiplicity 4)  4 Nd 3.38, 4 Sm 3.38
Cd 0.2500 0.2500 0.2500 (multiplicity 4)  4 Nd 3.38, 4 Sm 3.38


Among the records above, which one has the highest magnetic moment? Ca2NiRh


Which value of magnetic moment does entry 6 give? 0.000 μB per cell


What is the formula in the third record? Ca2NiRh